Entry 1:
Here is crystalline Zr2Al3Cu at its relaxed geometry from the Alexandria database. Energies are from GGA-PBEsol.

Its crystal system is orthorhombic. For the magnetic moment, the calculation gives 0.00 μB per cell. The formation energy comes out at -0.411 eV/atom. The density of states at the Fermi level comes out at 3.3 states/eV/f.u. As for the calculated density: 5.3 g/cm³.

Cell: 6.584 6.584 4.084 Å, 90.00 90.00 144.70°
Sites, in units of the cell vectors:
Zr1 0.158 0.842 0.000
Zr2 0.842 0.158 0.000
Al1 0.337 0.663 0.500
Al2 0.500 0.500 0.000
Al3 0.663 0.337 0.500
Cu1 0.000 0.000 0.500

Entry 2:
Here is crystalline Zr2AlCu at its relaxed geometry from the Alexandria database. Energies are from GGA-PBEsol.

Its crystal system is tetragonal. For the magnetic moment, the calculation gives 0.00 μB per cell. The formation energy comes out at -0.247 eV/atom. The density of states at the Fermi level comes out at 4.3 states/eV/f.u. As for the calculated density: 6.4 g/cm³.

Cell: 4.240 4.240 3.939 Å, 90.00 90.00 90.00°
Sites, in units of the cell vectors:
Zr1 0.000 0.500 0.000
Zr2 0.500 0.000 0.000
Al1 0.000 0.000 0.500
Cu1 0.500 0.500 0.500